An optimized crystal structure of RbGe. Source: Alexandria via LeMat-Bulk, functional GGA-PBE.

Output
The space group is No. 74. For the density of states at the Fermi level, the calculation gives 0.46 states/eV/atom. As for the magnetic moment: 0.00 μB/f.u. The energy above the most stable polymorph in this dataset comes out at 0.23 eV/f.u. The volume is 188 Å³ per cell.

a = 7.080 Å, b = 7.080 Å, c = 7.080 Å
α = 146.34°, β = 97.55°, γ = 92.08°
Element x y z (fractional)
Rb  0.000  0.000  0.000
Rb  0.500  0.000  0.500
Ge  0.427  0.677  0.750
Ge  0.573  0.323  0.250